## Ac3CoCu2O8 (GGA+U)

Data for an optimized crystal structure of Ac3CoCu2O8.

abc: 5.5407 5.5407 7.3439
angles: 90.00 90.00 120.00
Closest atoms and distances in Å follow each position.
Space group P-3m1 (No. 164)
Unique sites:
1 Ac 0.0000 0.0000 0.0000 (multiplicity 1)  6 O 2.88
2 Ac 0.3333 0.6667 0.6309 (multiplicity 2)  1 O 2.29
3 Co 0.0000 0.0000 0.5000 (multiplicity 1)  6 O 1.98
4 Cu 0.3333 0.6667 0.1891 (multiplicity 2)  4 O 1.81-1.96
5 O 0.1606 0.3213 0.3310 (multiplicity 6)  1 Cu 1.96, 1 Co 1.98
6 O 0.3333 0.6667 0.9422 (multiplicity 2)  1 Cu 1.81

The density of states at the Fermi level comes out at 5.20 states/eV per cell. As for the total magnetization: 0.06 μB/f.u. The calculation puts the calculated total energy at -93.1 eV/cell. Its volume is 195.2 Å³ per cell.